[1]
A relaxed Rb3BeBr5 crystal, computed with PBE. Values from VASP.

Quantum ESPRESSO input file:
```
&SYSTEM
  ibrav = 0, nat = 18, ntyp = 3
/
ATOMIC_SPECIES
Rb 85.47 Rb.upf
Be 9.01 Be.upf
Br 79.90 Br.upf
ATOMIC_POSITIONS angstrom
Rb 6.303 1.570 0.000
Rb 0.000 0.000 3.572
Rb 1.570 3.162 0.000
Rb 3.162 1.570 7.145
Rb 0.000 0.000 10.717
Rb -1.570 3.162 7.145
Be 4.733 0.000 3.572
Be 0.000 4.733 3.572
Br 0.000 0.000 0.000
Br 5.993 -1.261 2.280
Br 3.472 -1.261 4.865
Br 3.472 1.261 2.280
Br 5.993 1.261 4.865
Br 0.000 0.000 7.145
Br -1.261 3.472 2.280
Br 1.261 3.472 4.865
Br 1.261 5.993 2.280
Br -1.261 5.993 4.865
CELL_PARAMETERS angstrom
-4.733 4.733 7.145
4.733 -4.733 7.145
4.733 4.733 -7.145
```

Values from the calculation:
Its volume is 640.1 Å³/cell. Its total energy is -3.204 eV/atom.

=====

[2]
A relaxed Rb3BeBr6 crystal, computed with PBE. Values from VASP.

Quantum ESPRESSO input file:
```
&SYSTEM
  ibrav = 0, nat = 10, ntyp = 3
/
ATOMIC_SPECIES
Rb 85.47 Rb.upf
Be 9.01 Be.upf
Br 79.90 Br.upf
ATOMIC_POSITIONS angstrom
Rb 0.000 0.000 0.000
Rb 2.847 2.847 2.847
Rb 8.540 8.540 8.540
Be 5.693 5.693 5.693
Br 5.693 5.693 3.250
Br 5.693 3.250 5.693
Br 8.137 5.693 5.693
Br 3.250 5.693 5.693
Br 5.693 8.137 5.693
Br 5.693 5.693 8.137
CELL_PARAMETERS angstrom
0.000 5.693 5.693
5.693 0.000 5.693
5.693 5.693 0.000
```

Values from the calculation:
Its volume is 369.1 Å³/cell. Its total energy is -2.813 eV/atom.

=====

[3]
A relaxed Rb2BeReBr6 crystal, computed with PBE. Values from VASP.

Quantum ESPRESSO input file:
```
&SYSTEM
  ibrav = 0, nat = 10, ntyp = 4
/
ATOMIC_SPECIES
Rb 85.47 Rb.upf
Be 9.01 Be.upf
Re 186.21 Re.upf
Br 79.90 Br.upf
ATOMIC_POSITIONS angstrom
Rb 3.801 0.000 2.792
Rb 0.000 3.801 2.792
Be 0.000 0.000 0.000
Re 0.000 0.000 5.583
Br 1.668 1.668 0.000
Br 2.133 -2.133 5.583
Br 0.000 0.000 3.077
Br 0.000 0.000 8.089
Br -2.133 2.133 5.583
Br 2.133 2.133 5.583
CELL_PARAMETERS angstrom
-3.801 3.801 5.583
3.801 -3.801 5.583
3.801 3.801 -5.583
```

Values from the calculation:
Its volume is 322.6 Å³/cell. Its total energy is -3.448 eV/atom.

=====

[4]
A relaxed Rb2BeSBr6 crystal, computed with PBE. Values from VASP.

Quantum ESPRESSO input file:
```
&SYSTEM
  ibrav = 0, nat = 10, ntyp = 4
/
ATOMIC_SPECIES
Rb 85.47 Rb.upf
Be 9.01 Be.upf
S 32.06 S.upf
Br 79.90 Br.upf
ATOMIC_POSITIONS angstrom
Rb 3.752 0.000 2.767
Rb 0.000 3.752 2.767
Be 0.000 0.000 0.000
S 0.000 0.000 5.535
Br 1.640 1.640 0.000
Br 2.112 -2.112 5.535
Br 0.000 0.000 3.078
Br 0.000 0.000 7.992
Br -2.112 2.112 5.535
Br 2.112 2.112 5.535
CELL_PARAMETERS angstrom
-3.752 3.752 5.535
3.752 -3.752 5.535
3.752 3.752 -5.535
```

Values from the calculation:
Its volume is 311.7 Å³/cell. Its total energy is -2.746 eV/atom.

=====

[5]
A relaxed Rb2BeSbBr6 crystal, computed with PBE. Values from VASP.

Quantum ESPRESSO input file:
```
&SYSTEM
  ibrav = 0, nat = 10, ntyp = 4
/
ATOMIC_SPECIES
Rb 85.47 Rb.upf
Be 9.01 Be.upf
Sb 121.76 Sb.upf
Br 79.90 Br.upf
ATOMIC_POSITIONS angstrom
Rb 4.107 0.000 2.757
Rb 0.000 4.107 2.757
Be 0.000 0.000 0.000
Sb 0.000 0.000 5.515
Br 0.000 0.000 2.053
Br 2.123 2.123 0.000
Br 1.984 -1.984 5.515
Br -1.984 1.984 5.515
Br 1.984 1.984 5.515
Br 0.000 0.000 8.977
CELL_PARAMETERS angstrom
-4.107 4.107 5.515
4.107 -4.107 5.515
4.107 4.107 -5.515
```

Values from the calculation:
Its volume is 372.0 Å³/cell. Its total energy is -2.968 eV/atom.

=====

[6]
A relaxed RbBe2SbBr8 crystal, computed with PBE. Values from VASP.

Quantum ESPRESSO input file:
```
&SYSTEM
  ibrav = 0, nat = 12, ntyp = 4
/
ATOMIC_SPECIES
Rb 85.47 Rb.upf
Be 9.01 Be.upf
Sb 121.76 Sb.upf
Br 79.90 Br.upf
ATOMIC_POSITIONS angstrom
Rb 0.000 0.000 0.000
Be 0.000 0.000 7.697
Be 0.000 0.000 23.881
Sb 0.000 0.000 15.789
Br -1.187 -1.946 14.078
Br -2.279 0.055 17.500
Br 0.000 0.000 9.815
Br -1.092 2.001 14.078
Br 1.092 -2.001 17.500
Br 0.000 0.000 21.763
Br 2.279 -0.055 14.078
Br 1.187 1.946 17.500
CELL_PARAMETERS angstrom
3.299 1.905 10.526
-3.299 1.905 10.526
0.000 -3.809 10.526
```

Values from the calculation:
Its volume is 396.9 Å³/cell. Its total energy is -3.126 eV/atom.

=====

[7]
A relaxed RbScBe2Br8 crystal, computed with PBE. Values from VASP.

Quantum ESPRESSO input file:
```
&SYSTEM
  ibrav = 0, nat = 12, ntyp = 4
/
ATOMIC_SPECIES
Rb 85.47 Rb.upf
Sc 44.96 Sc.upf
Be 9.01 Be.upf
Br 79.90 Br.upf
ATOMIC_POSITIONS angstrom
Rb 0.000 0.000 0.000
Sc 0.000 0.000 15.304
Be 0.000 0.000 7.409
Be 0.000 0.000 23.200
Br -2.162 -0.077 13.726
Br -1.014 -1.911 16.883
Br 0.000 0.000 9.529
Br 1.148 -1.834 13.726
Br -1.148 1.834 16.883
Br 0.000 0.000 21.080
Br 1.014 1.911 13.726
Br 2.162 0.077 16.883
CELL_PARAMETERS angstrom
3.260 1.882 10.203
-3.260 1.882 10.203
0.000 -3.764 10.203
```

Values from the calculation:
Its volume is 375.5 Å³/cell. Its total energy is -3.671 eV/atom.

=====

[8]
A relaxed RbBeSe2Br crystal, computed with PBE. Values from VASP.

Quantum ESPRESSO input file:
```
&SYSTEM
  ibrav = 0, nat = 5, ntyp = 4
/
ATOMIC_SPECIES
Rb 85.47 Rb.upf
Be 9.01 Be.upf
Se 78.96 Se.upf
Br 79.90 Br.upf
ATOMIC_POSITIONS angstrom
Rb 0.000 0.000 0.000
Be 3.330 3.330 3.206
Se 0.000 3.330 0.000
Se 3.330 0.000 0.000
Br 0.000 0.000 3.206
CELL_PARAMETERS angstrom
6.659 0.000 0.000
0.000 6.659 0.000
0.000 0.000 6.413
```

Values from the calculation:
Its volume is 284.4 Å³/cell. The energy above the lowest structure with this stoichiometry is 1563 meV per atom. Its total energy is -1.597 eV/atom.

=====

[9]
A relaxed RbBeSe2Br crystal, computed with PBE. Values from VASP.

Quantum ESPRESSO input file:
```
&SYSTEM
  ibrav = 0, nat = 5, ntyp = 4
/
ATOMIC_SPECIES
Rb 85.47 Rb.upf
Be 9.01 Be.upf
Se 78.96 Se.upf
Br 79.90 Br.upf
ATOMIC_POSITIONS angstrom
Rb 0.000 0.000 0.000
Be 2.270 2.270 3.386
Se 0.000 2.270 3.386
Se 2.270 0.000 3.386
Br 2.270 2.270 0.000
CELL_PARAMETERS angstrom
4.539 0.000 0.000
0.000 4.539 0.000
0.000 0.000 6.772
```

Values from the calculation:
Its volume is 139.5 Å³/cell. The energy above the lowest structure with this stoichiometry is 0 meV per atom. Its total energy is -3.160 eV/atom.

=====

[10]
A relaxed Rb2BeSiBr6 crystal, computed with PBE. Values from VASP.

Quantum ESPRESSO input file:
```
&SYSTEM
  ibrav = 0, nat = 10, ntyp = 4
/
ATOMIC_SPECIES
Rb 85.47 Rb.upf
Be 9.01 Be.upf
Si 28.09 Si.upf
Br 79.90 Br.upf
ATOMIC_POSITIONS angstrom
Rb 3.708 0.000 2.645
Rb 0.000 3.708 2.645
Be 0.000 0.000 0.000
Si 0.000 0.000 5.289
Br 1.762 1.762 0.000
Br 1.946 -1.946 5.289
Br 0.000 0.000 2.553
Br 0.000 0.000 8.026
Br -1.946 1.946 5.289
Br 1.946 1.946 5.289
CELL_PARAMETERS angstrom
-3.708 3.708 5.289
3.708 -3.708 5.289
3.708 3.708 -5.289
```

Values from the calculation:
Its volume is 290.9 Å³/cell. Its total energy is -3.072 eV/atom.

=====

[11]
A relaxed Rb2BeSnBr6 crystal, computed with PBE. Values from VASP.

Quantum ESPRESSO input file:
```
&SYSTEM
  ibrav = 0, nat = 10, ntyp = 4
/
ATOMIC_SPECIES
Rb 85.47 Rb.upf
Be 9.01 Be.upf
Sn 118.71 Sn.upf
Br 79.90 Br.upf
ATOMIC_POSITIONS angstrom
Rb 2.720 2.720 2.720
Rb 8.161 8.161 8.161
Be 0.000 0.000 0.000
Sn 5.440 5.440 5.440
Br 5.440 5.440 2.493
Br 5.440 2.493 5.440
Br 8.388 5.440 5.440
Br 2.493 5.440 5.440
Br 5.440 8.388 5.440
Br 5.440 5.440 8.388
CELL_PARAMETERS angstrom
0.000 5.440 5.440
5.440 0.000 5.440
5.440 5.440 0.000
```

Values from the calculation:
Its volume is 322.1 Å³/cell. Its total energy is -3.078 eV/atom.

=====

[12]
A relaxed RbSrBeBr5 crystal, computed with PBE. Values from VASP.

Quantum ESPRESSO input file:
```
&SYSTEM
  ibrav = 0, nat = 16, ntyp = 4
/
ATOMIC_SPECIES
Rb 85.47 Rb.upf
Sr 87.62 Sr.upf
Be 9.01 Be.upf
Br 79.90 Br.upf
ATOMIC_POSITIONS angstrom
Rb 1.533 4.543 7.263
Rb 3.735 -4.543 2.421
Sr 4.837 0.000 0.000
Sr 2.634 0.000 4.842
Be 3.735 3.977 2.421
Be 1.533 -3.977 7.263
Br -2.433 1.099 8.855
Br 2.178 2.741 3.400
Br -0.230 -1.099 4.013
Br 5.293 2.741 1.442
Br 1.533 1.249 7.263
Br 3.735 -1.249 2.421
Br -0.025 -2.741 8.242
Br 5.498 1.099 5.671
Br 3.090 -2.741 6.284
Br 7.701 -1.099 0.829
CELL_PARAMETERS angstrom
4.837 -6.365 0.000
4.837 6.365 0.000
-4.405 0.000 9.684
```

Values from the calculation:
Its volume is 596.3 Å³/cell. Its total energy is -3.439 eV/atom.

=====

[13]
A relaxed Rb2SrBeBr6 crystal, computed with PBE. Values from VASP.

Quantum ESPRESSO input file:
```
&SYSTEM
  ibrav = 0, nat = 10, ntyp = 4
/
ATOMIC_SPECIES
Rb 85.47 Rb.upf
Sr 87.62 Sr.upf
Be 9.01 Be.upf
Br 79.90 Br.upf
ATOMIC_POSITIONS angstrom
Rb 3.884 0.000 2.741
Rb 0.000 3.884 2.741
Sr 0.000 0.000 0.000
Be 0.000 0.000 5.482
Br 2.121 2.121 0.000
Br 1.763 -1.763 5.482
Br 0.000 0.000 3.001
Br 0.000 0.000 7.963
Br -1.763 1.763 5.482
Br 1.763 1.763 5.482
CELL_PARAMETERS angstrom
-3.884 3.884 5.482
3.884 -3.884 5.482
3.884 3.884 -5.482
```

Values from the calculation:
Its volume is 330.9 Å³/cell. Its total energy is -3.236 eV/atom.

=====

[14]
A relaxed RbTaBeBr crystal, computed with PBE. Values from VASP.

Quantum ESPRESSO input file:
```
&SYSTEM
  ibrav = 0, nat = 4, ntyp = 4
/
ATOMIC_SPECIES
Rb 85.47 Rb.upf
Ta 180.95 Ta.upf
Be 9.01 Be.upf
Br 79.90 Br.upf
ATOMIC_POSITIONS angstrom
Rb 0.000 0.000 0.000
Ta 0.000 0.000 12.878
Be 1.598 0.000 5.499
Br 1.598 0.000 10.682
CELL_PARAMETERS angstrom
3.196 0.000 0.000
0.000 1.791 8.243
0.000 -1.791 8.243
```

Values from the calculation:
Its volume is 94.4 Å³/cell. The energy above the lowest structure with this stoichiometry is 0 meV per atom. Its total energy is -4.333 eV/atom.

=====

[15]
A relaxed RbTaBeBr crystal, computed with PBE. Values from VASP.

Quantum ESPRESSO input file:
```
&SYSTEM
  ibrav = 0, nat = 4, ntyp = 4
/
ATOMIC_SPECIES
Rb 85.47 Rb.upf
Ta 180.95 Ta.upf
Be 9.01 Be.upf
Br 79.90 Br.upf
ATOMIC_POSITIONS angstrom
Rb 0.000 0.000 0.000
Ta 10.871 0.000 2.288
Be 5.385 0.000 2.392
Br 9.886 0.000 4.725
CELL_PARAMETERS angstrom
7.157 -1.608 0.000
7.157 1.608 0.000
-0.299 0.000 4.974
```

Values from the calculation:
Its volume is 114.5 Å³/cell. The energy above the lowest structure with this stoichiometry is 396 meV per atom. Its total energy is -3.938 eV/atom.

=====

[16]
A relaxed Rb2TaBeBr6 crystal, computed with PBE. Values from VASP.

Quantum ESPRESSO input file:
```
&SYSTEM
  ibrav = 0, nat = 10, ntyp = 4
/
ATOMIC_SPECIES
Rb 85.47 Rb.upf
Ta 180.95 Ta.upf
Be 9.01 Be.upf
Br 79.90 Br.upf
ATOMIC_POSITIONS angstrom
Rb 4.036 0.000 2.470
Rb 0.000 4.036 2.470
Ta 0.000 0.000 0.000
Be 0.000 0.000 4.940
Br 1.877 1.877 0.000
Br 2.159 -2.159 4.940
Br 0.000 0.000 2.840
Br 0.000 0.000 7.040
Br -2.159 2.159 4.940
Br 2.159 2.159 4.940
CELL_PARAMETERS angstrom
-4.036 4.036 4.940
4.036 -4.036 4.940
4.036 4.036 -4.940
```

Values from the calculation:
Its volume is 321.9 Å³/cell. Its total energy is -3.591 eV/atom.

=====

[17]
A relaxed RbTaBeBr crystal, computed with PBE. Values from VASP.

Quantum ESPRESSO input file:
```
&SYSTEM
  ibrav = 0, nat = 4, ntyp = 4
/
ATOMIC_SPECIES
Rb 85.47 Rb.upf
Ta 180.95 Ta.upf
Be 9.01 Be.upf
Br 79.90 Br.upf
ATOMIC_POSITIONS angstrom
Rb 0.000 0.000 0.000
Ta 2.426 0.000 4.856
Be -0.002 0.000 5.468
Br 2.429 0.000 2.312
CELL_PARAMETERS angstrom
2.429 -2.430 0.000
2.429 2.430 0.000
-2.405 0.000 8.361
```

Values from the calculation:
Its volume is 98.7 Å³/cell. The energy above the lowest structure with this stoichiometry is 0 meV per atom. Its total energy is -4.334 eV/atom.

=====

[18]
A relaxed Rb2BeTeBr6 crystal, computed with PBE. Values from VASP.

Quantum ESPRESSO input file:
```
&SYSTEM
  ibrav = 0, nat = 10, ntyp = 4
/
ATOMIC_SPECIES
Rb 85.47 Rb.upf
Be 9.01 Be.upf
Te 127.60 Te.upf
Br 79.90 Br.upf
ATOMIC_POSITIONS angstrom
Rb 4.130 0.000 2.820
Rb 0.000 4.130 2.820
Be 0.000 0.000 0.000
Te 0.000 0.000 5.640
Br 0.000 0.000 2.020
Br 2.174 2.174 0.000
Br 1.955 -1.955 5.640
Br -1.955 1.955 5.640
Br 1.955 1.955 5.640
Br 0.000 0.000 9.260
CELL_PARAMETERS angstrom
-4.130 4.130 5.640
4.130 -4.130 5.640
4.130 4.130 -5.640
```

Values from the calculation:
Its volume is 384.7 Å³/cell. Its total energy is -2.845 eV/atom.

=====

[19]
A relaxed RbBeTlBr4 crystal, computed with PBE. Values from VASP.

Quantum ESPRESSO input file:
```
&SYSTEM
  ibrav = 0, nat = 14, ntyp = 4
/
ATOMIC_SPECIES
Rb 85.47 Rb.upf
Be 9.01 Be.upf
Tl 204.38 Tl.upf
Br 79.90 Br.upf
ATOMIC_POSITIONS angstrom
Rb 1.498 1.805 0.350
Rb 3.065 5.416 9.161
Be -0.703 5.416 7.358
Be 5.266 1.805 2.153
Tl 0.454 1.805 5.289
Tl 4.109 5.416 4.222
Br -0.737 0.050 2.713
Br -0.737 3.560 2.713
Br 2.240 5.416 0.028
Br 1.179 5.416 6.237
Br 3.384 1.805 3.274
Br 2.323 1.805 9.483
Br 5.300 3.661 6.798
Br 5.300 7.171 6.798
CELL_PARAMETERS angstrom
7.238 0.000 0.000
0.000 7.221 0.000
-2.675 0.000 9.511
```

Values from the calculation:
Its volume is 497.1 Å³/cell. Its total energy is -3.181 eV/atom.

=====

[20]
A relaxed Rb2BeTlBr6 crystal, computed with PBE. Values from VASP.

Quantum ESPRESSO input file:
```
&SYSTEM
  ibrav = 0, nat = 10, ntyp = 4
/
ATOMIC_SPECIES
Rb 85.47 Rb.upf
Be 9.01 Be.upf
Tl 204.38 Tl.upf
Br 79.90 Br.upf
ATOMIC_POSITIONS angstrom
Rb 3.845 0.000 2.733
Rb 0.000 3.845 2.733
Be 0.000 0.000 0.000
Tl 0.000 0.000 5.467
Br 1.748 1.748 0.000
Br 2.096 -2.096 5.467
Br 0.000 0.000 2.507
Br 0.000 0.000 8.427
Br -2.096 2.096 5.467
Br 2.096 2.096 5.467
CELL_PARAMETERS angstrom
-3.845 3.845 5.467
3.845 -3.845 5.467
3.845 3.845 -5.467
```

Values from the calculation:
Its volume is 323.2 Å³/cell. Its total energy is -2.847 eV/atom.